(1)
A relaxed structure of Rb4Tb3VSe8. Source: Alexandria, functional PBE.

Structure (CIF):
```
data_Rb4Tb3VSe8
_chemical_formula_sum 'Rb12 Tb9 V3 Se24'
_cell_length_a 8.3378
_cell_length_b 8.3378
_cell_length_c 23.9460
_cell_angle_alpha 90.00
_cell_angle_beta 90.00
_cell_angle_gamma 120.00
_symmetry_space_group_name_H-M 'R -3 m'
_symmetry_Int_Tables_number 166
_symmetry_space_group_name_Hall '-R 3 2"'
loop_
_atom_site_label
_atom_site_fract_x
_atom_site_fract_y
_atom_site_fract_z
Rb1 0.0000 0.0000 0.0000
Rb2 0.0000 0.5000 0.0000
Tb1 0.0000 0.5000 0.5000
V1 0.0000 0.0000 0.5000
Se1 0.0000 0.0000 0.2331
Se2 0.0209 0.5104 0.2294
```

E_form (uncorrected): -1.479 eV/atom

=====

(2)
A relaxed structure of Ac2HgRuC. Source: Alexandria, functional PBE.

Structure (CIF):
```
data_Ac2HgRuC
_chemical_formula_sum 'Ac2 Hg1 Ru1 C1'
_cell_length_a 5.6316
_cell_length_b 5.6316
_cell_length_c 3.9779
_cell_angle_alpha 90.00
_cell_angle_beta 90.00
_cell_angle_gamma 90.00
_symmetry_space_group_name_H-M 'P 4/m m m'
_symmetry_Int_Tables_number 123
_symmetry_space_group_name_Hall '-P 4 2'
loop_
_atom_site_label
_atom_site_fract_x
_atom_site_fract_y
_atom_site_fract_z
Ac1 0.0000 0.5000 0.0000
Hg1 0.0000 0.0000 0.5000
Ru1 0.5000 0.5000 0.5000
C1 0.5000 0.5000 0.0000
```

Formation enthalpy at 0 K: -0.249 eV/atom

=====

(3)
A relaxed structure of NaRuNF2. Source: Alexandria, functional PBE.

Structure (CIF):
```
data_NaRuNF2
_chemical_formula_sum 'Na1 Ru1 N1 F2'
_cell_length_a 4.3101
_cell_length_b 4.3101
_cell_length_c 3.7139
_cell_angle_alpha 90.00
_cell_angle_beta 90.00
_cell_angle_gamma 90.00
_symmetry_space_group_name_H-M 'P 4/m m m'
_symmetry_Int_Tables_number 123
_symmetry_space_group_name_Hall '-P 4 2'
loop_
_atom_site_label
_atom_site_fract_x
_atom_site_fract_y
_atom_site_fract_z
Na1 0.0000 0.0000 0.0000
Ru1 0.5000 0.5000 0.5000
N1 0.5000 0.5000 0.0000
F1 0.0000 0.5000 0.5000
```

Relative energy among the computed polymorphs: 0.0 meV per atom
E_form (uncorrected): -1.018 eV/atom

=====

(4)
A relaxed structure of TcSbAs2. Source: Alexandria, functional PBE.

Structure (CIF):
```
data_TcSbAs2
_chemical_formula_sum 'Tc2 Sb2 As4'
_cell_length_a 3.4028
_cell_length_b 5.0521
_cell_length_c 9.3616
_cell_angle_alpha 90.00
_cell_angle_beta 90.00
_cell_angle_gamma 90.00
_symmetry_space_group_name_H-M 'C m m m'
_symmetry_Int_Tables_number 65
_symmetry_space_group_name_Hall '-C 2 2'
loop_
_atom_site_label
_atom_site_fract_x
_atom_site_fract_y
_atom_site_fract_z
Tc1 0.0000 0.0000 0.0000
Sb1 0.0000 0.0000 0.5000
As1 0.0000 0.5000 0.1989
```

E_form (uncorrected): 0.310 eV/atom

=====

(5)
A relaxed structure of Mg2PPb. Source: Alexandria, functional PBE.

Structure (CIF):
```
data_Mg2PPb
_chemical_formula_sum 'Mg4 P2 Pb2'
_cell_length_a 8.8529
_cell_length_b 3.8207
_cell_length_c 5.9807
_cell_angle_alpha 90.00
_cell_angle_beta 112.30
_cell_angle_gamma 90.00
_symmetry_space_group_name_H-M 'C 1 m 1'
_symmetry_Int_Tables_number 8
loop_
_symmetry_equiv_pos_as_xyz
'x,y,z'
'x,-y,z'
'x+1/2,y+1/2,z'
'x+1/2,-y+1/2,z'
loop_
_atom_site_label
_atom_site_fract_x
_atom_site_fract_y
_atom_site_fract_z
Mg1 0.0000 0.0000 0.0000
Mg2 0.1810 0.0000 0.6094
P1 0.0156 0.5000 0.7268
Pb1 0.2892 0.5000 0.2684
```

Formation enthalpy at 0 K: -0.202 eV/atom

=====

(6)
A relaxed structure of KReSi2. Source: Alexandria, functional PBE.

Structure (CIF):
```
data_KReSi2
_chemical_formula_sum 'K2 Re2 Si4'
_cell_length_a 7.2302
_cell_length_b 7.5225
_cell_length_c 2.7024
_cell_angle_alpha 90.00
_cell_angle_beta 107.08
_cell_angle_gamma 90.00
_symmetry_space_group_name_H-M 'C 1 2/m 1'
_symmetry_Int_Tables_number 12
loop_
_symmetry_equiv_pos_as_xyz
'x,y,z'
'-x,-y,-z'
'-x,y,-z'
'x,-y,z'
'x+1/2,y+1/2,z'
'-x+1/2,-y+1/2,-z'
'-x+1/2,y+1/2,-z'
'x+1/2,-y+1/2,z'
loop_
_atom_site_label
_atom_site_fract_x
_atom_site_fract_y
_atom_site_fract_z
K1 0.0000 0.0000 0.0000
Re1 0.0000 0.5000 0.0000
Si1 0.2500 0.2500 0.5000
```

Relative energy among the computed polymorphs: 948.1 meV per atom
E_form (uncorrected): 1.023 eV/atom

=====

(7)
A relaxed structure of HoLuTe2. Source: Alexandria, functional PBE.

Structure (CIF):
```
data_HoLuTe2
_chemical_formula_sum 'Ho1 Lu1 Te2'
_cell_length_a 5.2988
_cell_length_b 5.2988
_cell_length_c 3.7471
_cell_angle_alpha 90.00
_cell_angle_beta 90.00
_cell_angle_gamma 90.00
_symmetry_space_group_name_H-M 'P 4/m m m'
_symmetry_Int_Tables_number 123
_symmetry_space_group_name_Hall '-P 4 2'
loop_
_atom_site_label
_atom_site_fract_x
_atom_site_fract_y
_atom_site_fract_z
Ho1 0.0000 0.0000 0.0000
Lu1 0.5000 0.5000 0.0000
Te1 0.0000 0.5000 0.5000
```

Relative energy among the computed polymorphs: 107.6 meV per atom
E_form (uncorrected): -1.061 eV/atom

=====

(8)
A relaxed structure of NaGaPb. Source: Alexandria, functional PBE.

Structure (CIF):
```
data_NaGaPb
_chemical_formula_sum 'Na1 Ga1 Pb1'
_cell_length_a 3.7141
_cell_length_b 4.6391
_cell_length_c 5.3301
_cell_angle_alpha 90.00
_cell_angle_beta 90.00
_cell_angle_gamma 90.00
_symmetry_space_group_name_H-M 'P m m m'
_symmetry_Int_Tables_number 47
loop_
_symmetry_equiv_pos_as_xyz
'x,y,z'
'-x,-y,-z'
'-x,-y,z'
'x,y,-z'
'x,-y,-z'
'-x,y,z'
'-x,y,-z'
'x,-y,z'
loop_
_atom_site_label
_atom_site_fract_x
_atom_site_fract_y
_atom_site_fract_z
Na1 0.0000 0.0000 0.0000
Ga1 0.5000 0.0000 0.5000
Pb1 0.0000 0.5000 0.5000
```

Formation enthalpy at 0 K: 0.054 eV/atom

=====

(9)
A relaxed structure of SrLaPr2. Source: Alexandria, functional PBE.

Structure (CIF):
```
data_SrLaPr2
_chemical_formula_sum 'Sr3 La3 Pr6'
_cell_length_a 3.8146
_cell_length_b 3.8146
_cell_length_c 37.7660
_cell_angle_alpha 90.00
_cell_angle_beta 90.00
_cell_angle_gamma 120.00
_symmetry_space_group_name_H-M 'R 3 m'
_symmetry_Int_Tables_number 160
_symmetry_space_group_name_Hall 'R 3 -2"'
loop_
_atom_site_label
_atom_site_fract_x
_atom_site_fract_y
_atom_site_fract_z
Sr1 0.0000 0.0000 0.0000
La1 0.0000 0.0000 0.1656
Pr1 0.0000 0.0000 0.5776
Pr2 0.0000 0.0000 0.7543
```

Relative energy among the computed polymorphs: 0.7 meV per atom
Formation enthalpy at 0 K: 0.073 eV/atom

=====

(10)
A relaxed structure of NaThTeO5. Source: Alexandria, functional PBE.

Structure (CIF):
```
data_NaThTeO5
_chemical_formula_sum 'Na4 Th4 Te4 O20'
_cell_length_a 8.6332
_cell_length_b 9.4593
_cell_length_c 8.5678
_cell_angle_alpha 90.00
_cell_angle_beta 118.94
_cell_angle_gamma 90.00
_symmetry_space_group_name_H-M 'C 1 2/c 1'
_symmetry_Int_Tables_number 15
loop_
_symmetry_equiv_pos_as_xyz
'x,y,z'
'-x,-y,-z'
'-x,y,-z+1/2'
'x,-y,z+1/2'
'x+1/2,y+1/2,z'
'-x+1/2,-y+1/2,-z'
'-x+1/2,y+1/2,-z+1/2'
'x+1/2,-y+1/2,z+1/2'
loop_
_atom_site_label
_atom_site_fract_x
_atom_site_fract_y
_atom_site_fract_z
Na1 0.0000 0.1884 0.2500
Th1 0.0000 0.5000 0.0000
Te1 0.0000 0.1581 0.7500
O1 0.0000 0.4426 0.2500
O2 0.0185 0.2499 0.5505
O3 0.1841 0.0224 0.8525
```

E_form (uncorrected): -2.056 eV/atom

=====

(11)
A relaxed structure of ThH6PdRu. Source: Alexandria, functional PBE.

Structure (CIF):
```
data_ThH6PdRu
_chemical_formula_sum 'Th1 H6 Pd1 Ru1'
_cell_length_a 4.7336
_cell_length_b 4.7336
_cell_length_c 4.2804
_cell_angle_alpha 90.00
_cell_angle_beta 90.00
_cell_angle_gamma 120.00
_symmetry_space_group_name_H-M 'P -6 m 2'
_symmetry_Int_Tables_number 187
_symmetry_space_group_name_Hall 'P -6 2'
loop_
_atom_site_label
_atom_site_fract_x
_atom_site_fract_y
_atom_site_fract_z
Th1 0.0000 0.0000 0.0000
H1 0.0245 0.5123 0.2214
Pd1 0.6667 0.3333 0.5000
Ru1 0.3333 0.6667 0.5000
```

=====

(12)
A relaxed structure of Re2IrRu. Source: Alexandria, functional PBE.

Structure (CIF):
```
data_Re2IrRu
_chemical_formula_sum 'Re8 Ir4 Ru4'
_cell_length_a 6.1972
_cell_length_b 6.1972
_cell_length_c 6.1972
_cell_angle_alpha 90.00
_cell_angle_beta 90.00
_cell_angle_gamma 90.00
_symmetry_space_group_name_H-M 'F -4 3 m'
_symmetry_Int_Tables_number 216
_symmetry_space_group_name_Hall 'F -4 2 3'
loop_
_atom_site_label
_atom_site_fract_x
_atom_site_fract_y
_atom_site_fract_z
Re1 0.0000 0.0000 0.0000
Re2 0.2500 0.2500 0.2500
Ir1 0.0000 0.0000 0.5000
Ru1 0.2500 0.2500 0.7500
```

Relative energy among the computed polymorphs: 602.9 meV per atom
Formation enthalpy at 0 K: 0.392 eV/atom

=====

(13)
A relaxed structure of RbAl2H. Source: Alexandria, functional PBE.

Structure (CIF):
```
data_RbAl2H
_chemical_formula_sum 'Rb4 Al8 H4'
_cell_length_a 6.3199
_cell_length_b 6.3199
_cell_length_c 8.9080
_cell_angle_alpha 90.00
_cell_angle_beta 90.00
_cell_angle_gamma 90.00
_symmetry_space_group_name_H-M 'I 41/a m d'
_symmetry_Int_Tables_number 141
loop_
_symmetry_equiv_pos_as_xyz
'x,y,z'
'-x,-y,-z'
'-y+1/4,x+3/4,z+1/4'
'y+1/4,-x+3/4,-z+1/4'
'-x+1/2,-y,z+1/2'
'x+1/2,y,-z+1/2'
'y+1/4,-x+1/4,z+3/4'
'-y+1/4,x+1/4,-z+3/4'
'x,-y,-z'
'-x,y,z'
'-y+1/4,-x+1/4,-z+3/4'
'y+1/4,x+1/4,z+3/4'
'-x+1/2,y,-z+1/2'
'x+1/2,-y,z+1/2'
'y+1/4,x+3/4,-z+1/4'
'-y+1/4,-x+3/4,z+1/4'
'x+1/2,y+1/2,z+1/2'
'-x+1/2,-y+1/2,-z+1/2'
'-y+3/4,x+1/4,z+3/4'
'y+3/4,-x+1/4,-z+3/4'
'-x,-y+1/2,z'
'x,y+1/2,-z'
'y+3/4,-x+3/4,z+1/4'
'-y+3/4,x+3/4,-z+1/4'
'x+1/2,-y+1/2,-z+1/2'
'-x+1/2,y+1/2,z+1/2'
'-y+3/4,-x+3/4,-z+1/4'
'y+3/4,x+3/4,z+1/4'
'-x,y+1/2,-z'
'x,-y+1/2,z'
'y+3/4,x+1/4,-z+3/4'
'-y+3/4,-x+1/4,z+3/4'
loop_
_atom_site_label
_atom_site_fract_x
_atom_site_fract_y
_atom_site_fract_z
Rb1 0.0000 0.2500 0.3750
Al1 0.0000 0.0000 0.0000
H1 0.0000 0.2500 0.8750
```

Relative energy among the computed polymorphs: 0.0 meV per atom

=====

(14)
A relaxed structure of Nd2HfPt. Source: Alexandria, functional PBE.

Structure (CIF):
```
data_Nd2HfPt
_chemical_formula_sum 'Nd6 Hf3 Pt3'
_cell_length_a 3.5760
_cell_length_b 3.5760
_cell_length_c 31.2214
_cell_angle_alpha 90.00
_cell_angle_beta 90.00
_cell_angle_gamma 120.00
_symmetry_space_group_name_H-M 'R -3 m'
_symmetry_Int_Tables_number 166
_symmetry_space_group_name_Hall '-R 3 2"'
loop_
_atom_site_label
_atom_site_fract_x
_atom_site_fract_y
_atom_site_fract_z
Nd1 0.0000 0.0000 0.1015
Hf1 0.0000 0.0000 0.0000
Pt1 0.0000 0.0000 0.5000
```

Formation enthalpy at 0 K: 0.104 eV/atom

=====

(15)
A relaxed structure of YPaTcIr. Source: Alexandria, functional PBE.

Structure (CIF):
```
data_YPaTcIr
_chemical_formula_sum 'Y4 Pa4 Tc4 Ir4'
_cell_length_a 6.8903
_cell_length_b 6.8903
_cell_length_c 6.8903
_cell_angle_alpha 90.00
_cell_angle_beta 90.00
_cell_angle_gamma 90.00
_symmetry_space_group_name_H-M 'F -4 3 m'
_symmetry_Int_Tables_number 216
_symmetry_space_group_name_Hall 'F -4 2 3'
loop_
_atom_site_label
_atom_site_fract_x
_atom_site_fract_y
_atom_site_fract_z
Y1 0.0000 0.0000 0.0000
Pa1 0.0000 0.0000 0.5000
Tc1 0.2500 0.2500 0.2500
Ir1 0.2500 0.2500 0.7500
```

Formation enthalpy at 0 K: -0.415 eV/atom

=====

(16)
A relaxed structure of OsPdSN. Source: Alexandria, functional PBE.

Structure (CIF):
```
data_OsPdSN
_chemical_formula_sum 'Os2 Pd2 S2 N2'
_cell_length_a 10.9320
_cell_length_b 3.1399
_cell_length_c 3.4410
_cell_angle_alpha 90.00
_cell_angle_beta 93.96
_cell_angle_gamma 90.00
_symmetry_space_group_name_H-M 'C 1 m 1'
_symmetry_Int_Tables_number 8
loop_
_symmetry_equiv_pos_as_xyz
'x,y,z'
'x,-y,z'
'x+1/2,y+1/2,z'
'x+1/2,-y+1/2,z'
loop_
_atom_site_label
_atom_site_fract_x
_atom_site_fract_y
_atom_site_fract_z
Os1 0.0000 0.0000 0.0000
Pd1 0.2956 0.0000 0.3019
S1 0.1523 0.5000 0.9261
N1 0.4234 0.5000 0.4838
```

Relative energy among the computed polymorphs: 146.1 meV per atom
E_form (uncorrected): 0.324 eV/atom

=====

(17)
A relaxed structure of TlW. Source: Alexandria, functional PBE.

Structure (CIF):
```
data_TlW
_chemical_formula_sum 'Tl8 W8'
_cell_length_a 10.6482
_cell_length_b 10.6482
_cell_length_c 3.0979
_cell_angle_alpha 90.00
_cell_angle_beta 90.00
_cell_angle_gamma 90.00
_symmetry_space_group_name_H-M 'P 4/m'
_symmetry_Int_Tables_number 83
loop_
_symmetry_equiv_pos_as_xyz
'x,y,z'
'-x,-y,-z'
'-y,x,z'
'y,-x,-z'
'-x,-y,z'
'x,y,-z'
'y,-x,z'
'-y,x,-z'
loop_
_atom_site_label
_atom_site_fract_x
_atom_site_fract_y
_atom_site_fract_z
Tl1 0.1406 0.1673 0.0000
Tl2 0.3442 0.6477 0.5000
W1 0.0275 0.6417 0.5000
W2 0.1443 0.4928 0.0000
```

Relative energy among the computed polymorphs: 31.6 meV per atom
Formation enthalpy at 0 K: 0.656 eV/atom

=====

(18)
A relaxed structure of KTl2Pb2. Source: Alexandria, functional PBE.

Structure (CIF):
```
data_KTl2Pb2
_chemical_formula_sum 'K2 Tl4 Pb4'
_cell_length_a 4.8427
_cell_length_b 4.8427
_cell_length_c 15.4441
_cell_angle_alpha 90.00
_cell_angle_beta 90.00
_cell_angle_gamma 90.00
_symmetry_space_group_name_H-M 'I 4/m m m'
_symmetry_Int_Tables_number 139
_symmetry_space_group_name_Hall '-I 4 2'
loop_
_atom_site_label
_atom_site_fract_x
_atom_site_fract_y
_atom_site_fract_z
K1 0.0000 0.0000 0.0000
Tl1 0.0000 0.0000 0.3929
Pb1 0.0000 0.5000 0.2500
```

Relative energy among the computed polymorphs: 0.0 meV per atom
Formation enthalpy at 0 K: -0.072 eV/atom

=====

(19)
A relaxed structure of HfMgCoRe2. Source: Alexandria, functional PBE.

Structure (CIF):
```
data_HfMgCoRe2
_chemical_formula_sum 'Hf1 Mg1 Co1 Re2'
_cell_length_a 4.5028
_cell_length_b 4.5028
_cell_length_c 4.3579
_cell_angle_alpha 90.00
_cell_angle_beta 90.00
_cell_angle_gamma 90.00
_symmetry_space_group_name_H-M 'P 4/m m m'
_symmetry_Int_Tables_number 123
_symmetry_space_group_name_Hall '-P 4 2'
loop_
_atom_site_label
_atom_site_fract_x
_atom_site_fract_y
_atom_site_fract_z
Hf1 0.0000 0.0000 0.0000
Mg1 0.5000 0.5000 0.0000
Co1 0.5000 0.5000 0.5000
Re1 0.0000 0.5000 0.5000
```

Formation enthalpy at 0 K: 0.796 eV/atom

=====

(20)
A relaxed structure of Li2InN. Source: Alexandria, functional PBE.

Structure (CIF):
```
data_Li2InN
_chemical_formula_sum 'Li8 In4 N4'
_cell_length_a 6.0281
_cell_length_b 6.0281
_cell_length_c 6.0281
_cell_angle_alpha 90.00
_cell_angle_beta 90.00
_cell_angle_gamma 90.00
_symmetry_space_group_name_H-M 'F m -3 m'
_symmetry_Int_Tables_number 225
_symmetry_space_group_name_Hall '-F 4 2 3'
loop_
_atom_site_label
_atom_site_fract_x
_atom_site_fract_y
_atom_site_fract_z
Li1 0.2500 0.2500 0.2500
In1 0.0000 0.0000 0.0000
N1 0.0000 0.0000 0.5000
```

Relative energy among the computed polymorphs: 235.6 meV per atom
E_form (uncorrected): 0.403 eV/atom

=====

no.,calculated total energy (eV per atom)
1,-4.901
2,-5.653
3,-5.550
4,-5.637
5,-3.279
6,-5.075
7,-4.907
8,-2.631
9,-3.969
10,-6.640
11,-4.931
12,-10.366
13,-2.544
14,-6.278
15,-9.211
16,-6.895
17,-7.004
18,-2.721
19,-7.914
20,-3.320